Compound: Hf2ZrZnN
Source: Alexandria
Functional: PBE-GGA
Structure: optimized geometry

Results
E_form (uncorrected) = -774 meV per atom
E_tot = -8.3849 eV per atom

Cell lengths 4.3749, 4.3749, 4.5022 Å; angles 90.00, 90.00, 90.00 degrees
Fractional positions:
Hf: 0.0000 0.5000 0.0000
Hf: 0.5000 0.0000 0.0000
Zr: 0.0000 0.0000 0.5000
Zn: 0.5000 0.5000 0.5000
N: 0.0000 0.0000 0.0000

Compound: HfZr2ZnN
Source: Alexandria
Functional: PBE-GGA
Structure: optimized geometry

Results
E_form (uncorrected) = -789 meV per atom
E_tot = -8.1188 eV per atom

Cell lengths 4.4820, 4.4820, 4.3578 Å; angles 90.00, 90.00, 90.00 degrees
Fractional positions:
Hf: 0.0000 0.0000 0.0000
Zr: 0.0000 0.5000 0.5000
Zr: 0.5000 0.0000 0.5000
Zn: 0.5000 0.5000 0.0000
N: 0.0000 0.0000 0.5000

Compound: HfZr3Zn2N
Source: Alexandria
Functional: PBE-GGA
Structure: optimized geometry

Results
E_form (uncorrected) = -509 meV per atom
E_tot = -7.1477 eV per atom

Cell lengths 7.7197, 7.7197, 7.7197 Å; angles 147.72, 147.21, 46.67 degrees
Fractional positions:
Hf: 0.0000 0.0000 0.0000
Zr: 0.1674 0.6674 0.5000
Zr: 0.5000 0.5000 0.0000
Zr: 0.8326 0.3326 0.5000
Zn: 0.3656 0.8656 0.5000
Zn: 0.6344 0.1344 0.5000
N: 0.0000 0.5000 0.5000

Compound: HfZr2ZnN5
Source: Alexandria
Functional: PBE-GGA
Structure: optimized geometry

Results
E_form (uncorrected) = -948 meV per atom
E_tot = -8.7207 eV per atom

Cell lengths 6.8336, 6.8336, 9.6757 Å; angles 90.00, 90.00, 153.15 degrees
Fractional positions:
Hf: 0.2054 0.7946 0.5000
Hf: 0.7946 0.2054 0.0000
Zr: 0.1105 0.8895 0.1892
Zr: 0.1278 0.8722 0.7912
Zr: 0.8722 0.1278 0.2912
Zr: 0.8895 0.1105 0.6892
Zn: 0.4833 0.5167 0.9757
Zn: 0.5167 0.4833 0.4757
N: 0.0522 0.9478 0.5807
N: 0.2884 0.7116 0.1601
N: 0.3148 0.6852 0.8453
N: 0.3627 0.6373 0.5022
N: 0.4963 0.5037 0.2743
N: 0.5037 0.4963 0.7743
N: 0.6373 0.3627 0.0022
N: 0.6852 0.3148 0.3453
N: 0.7116 0.2884 0.6601
N: 0.9478 0.0522 0.0807

Compound: Hf5ZrN6
Source: Alexandria
Functional: PBE-GGA
Structure: optimized geometry

Results
E_form (uncorrected) = -1752 meV per atom
E_tot = -10.7740 eV per atom

Cell lengths 5.5774, 5.5774, 5.5720 Å; angles 99.53, 99.53, 120.16 degrees
Fractional positions:
Hf: 0.0000 0.0000 0.0000
Hf: 0.1662 0.8338 0.5000
Hf: 0.3350 0.6650 0.0000
Hf: 0.6650 0.3350 0.0000
Hf: 0.8338 0.1662 0.5000
Zr: 0.5000 0.5000 0.5000
N: 0.0745 0.4151 0.2454
N: 0.2439 0.2439 0.7536
N: 0.4151 0.0745 0.2454
N: 0.5849 0.9255 0.7546
N: 0.7561 0.7561 0.2464
N: 0.9255 0.5849 0.7546

Compound: Hf5Zr2N4
Source: Alexandria
Functional: PBE-GGA
Structure: optimized geometry

Results
E_form (uncorrected) = -1180 meV per atom
E_tot = -10.2863 eV per atom

Cell lengths 10.8393, 10.8393, 5.2208 Å; angles 102.96, 102.96, 16.98 degrees
Fractional positions:
Hf: 0.0000 0.0000 0.0000
Hf: 0.2728 0.2728 0.2691
Hf: 0.3608 0.3608 0.8562
Hf: 0.6392 0.6392 0.1438
Hf: 0.7272 0.7272 0.7309
Zr: 0.0918 0.0918 0.6148
Zr: 0.9082 0.9082 0.3852
N: 0.1830 0.1830 0.9414
N: 0.4496 0.4496 0.1781
N: 0.5504 0.5504 0.8219
N: 0.8170 0.8170 0.0586

Compound: HfZr5N4
Source: Alexandria
Functional: PBE-GGA
Structure: optimized geometry

Results
E_form (uncorrected) = -1397 meV per atom
E_tot = -9.9964 eV per atom

Cell lengths 7.2323, 7.2323, 6.5311 Å; angles 103.09, 103.09, 26.16 degrees
Fractional positions:
Hf: 0.0000 0.0000 0.0000
Zr: 0.0000 0.0000 0.5000
Zr: 0.3324 0.3324 0.6764
Zr: 0.3335 0.3335 0.1552
Zr: 0.6665 0.6665 0.8448
Zr: 0.6676 0.6676 0.3236
N: 0.1637 0.1637 0.0816
N: 0.4983 0.4983 0.7562
N: 0.5017 0.5017 0.2438
N: 0.8363 0.8363 0.9184

Compound: Hf3ZrN
Source: Alexandria
Functional: PBE-GGA
Structure: optimized geometry

Results
Energy above the lowest structure with this stoichiometry = 0 meV per atom
E_form (uncorrected) = -741 meV per atom
E_tot = -10.0878 eV per atom

Cell lengths 6.1086, 6.1086, 5.6546 Å; angles 90.09, 90.09, 63.69 degrees
Fractional positions:
Hf: 0.0000 0.0000 0.0000
Hf: 0.2539 0.7533 0.5204
Hf: 0.5093 0.9966 0.8282
Hf: 0.7533 0.2539 0.5204
Hf: 0.7547 0.7547 0.3490
Hf: 0.9966 0.5093 0.8282
Zr: 0.2525 0.2525 0.3241
Zr: 0.5061 0.5061 0.0039
N: 0.6234 0.6234 0.6663
N: 0.8848 0.8848 0.6708

Compound: Hf2ZrN
Source: Alexandria
Functional: PBE-GGA
Structure: optimized geometry

Results
E_form (uncorrected) = -941 meV per atom
E_tot = -10.1360 eV per atom

Cell lengths 5.6180, 5.1778, 9.8207 Å; angles 90.00, 90.00, 90.00 degrees
Fractional positions:
Hf: 0.0756 0.2465 0.0789
Hf: 0.0756 0.2535 0.4211
Hf: 0.4244 0.7465 0.4211
Hf: 0.4244 0.7535 0.0789
Hf: 0.5756 0.2465 0.9211
Hf: 0.5756 0.2535 0.5789
Hf: 0.9244 0.7465 0.5789
Hf: 0.9244 0.7535 0.9211
Zr: 0.0942 0.2500 0.7500
Zr: 0.4058 0.7500 0.7500
Zr: 0.5942 0.2500 0.2500
Zr: 0.9058 0.7500 0.2500
N: 0.2500 0.0000 0.9218
N: 0.2500 0.5000 0.5782
N: 0.7500 0.0000 0.0782
N: 0.7500 0.5000 0.4218

Compound: HfZrN2
Source: Alexandria
Functional: PBE-GGA
Structure: optimized geometry

Results
E_form (uncorrected) = -1644 meV per atom
E_tot = -10.4316 eV per atom

Cell lengths 5.8424, 5.8424, 5.8424 Å; angles 31.71, 31.71, 31.71 degrees
Fractional positions:
Hf: 0.0000 0.0000 0.0000
Zr: 0.8233 0.8233 0.8233
N: 0.4048 0.4048 0.4048
N: 0.5833 0.5833 0.5833

Compound: Hf2Zr3N4
Source: Alexandria
Functional: PBE-GGA
Structure: optimized geometry

Results
E_form (uncorrected) = -1556 meV per atom
E_tot = -10.3170 eV per atom

Cell lengths 3.2370, 3.2370, 13.2779 Å; angles 90.06, 90.06, 59.98 degrees
Fractional positions:
Hf: 0.1671 0.1671 0.2016
Hf: 0.8329 0.8329 0.7984
Zr: 0.1654 0.1654 0.5995
Zr: 0.5000 0.5000 0.0000
Zr: 0.8346 0.8346 0.4005
N: 0.1664 0.1664 0.8942
N: 0.4993 0.4993 0.7047
N: 0.5007 0.5007 0.2953
N: 0.8336 0.8336 0.1058

Compound: Hf3ZrN
Source: Alexandria
Functional: PBE-GGA
Structure: optimized geometry

Results
Energy above the lowest structure with this stoichiometry = 63 meV per atom
E_form (uncorrected) = -678 meV per atom
E_tot = -10.0251 eV per atom

Cell lengths 6.4300, 6.4300, 6.3323 Å; angles 119.30, 119.30, 91.49 degrees
Fractional positions:
Hf: 0.0015 0.0015 0.2513
Hf: 0.0067 0.4980 0.7525
Hf: 0.4980 0.0067 0.7525
Hf: 0.5020 0.9933 0.2475
Hf: 0.9933 0.5020 0.2475
Hf: 0.9985 0.9985 0.7487
Zr: 0.4983 0.4983 0.2469
Zr: 0.5017 0.5017 0.7531
N: 0.2420 0.2420 0.7419
N: 0.7580 0.7580 0.2581